A plane-wave DFT calculation with PBE was carried out for a relaxed LiPaAlS4 crystal.

Calculated values
For the density of states at the Fermi level, the calculation gives 10.03 states/eV/cell. The calculation puts the raw formation energy at -1.2961 eV per atom. The energy is -5.8193 eV per atom.

```
14
Lattice="-3.635 3.976 5.391 3.635 -3.976 5.391 3.635 3.976 -5.391" Properties=species:S:1:pos:R:3 pbc="T T T"
Li 0.000 1.988 1.494
Li 3.635 1.988 3.896
Pa 3.635 0.000 0.000
Pa 0.000 0.000 5.391
Al 1.818 1.988 -2.695
Al 1.818 -1.988 2.695
S 3.635 3.650 -2.715
S 3.635 -0.326 2.715
S 1.810 1.988 -0.166
S 1.825 -1.988 5.225
S 1.810 5.964 0.166
S 1.825 1.988 5.556
S 0.000 4.301 2.676
S 0.000 0.326 8.106
```